## DyIrNO (PBE-GGA)

Data for a relaxed DyIrNO crystal.

Values from the calculation:
- Distance to the lowest polymorph of the same formula: 128 kJ/mol of formula units

Unit cell a=3.9233 b=3.9233 c=7.2580 alpha=90.00 beta=90.00 gamma=90.00
Closest atoms and distances in Å follow each position.
Space group P4/nmm (No. 129, origin choice 2)
Asymmetric unit:
Dy 0.2500 0.2500 0.1479  4 O 2.24
Ir 0.2500 0.7500 0.5000  4 N 2.12
N 0.2500 0.2500 0.6118  4 Ir 2.12
O 0.2500 0.7500 0.0000  4 Dy 2.24